Crystalline ZrCoBAu at its relaxed geometry, computed with PBE.

a b c (Å): 4.365 4.365 4.365
angles (deg): 60.00 60.00 60.00
Fractional positions:
Zr 0.000 0.000 0.000
Co 0.500 0.500 0.500
B 0.250 0.250 0.250
Au 0.750 0.750 0.750

Calculated values
The energy above the most stable polymorph in this dataset comes out at 0 meV per atom. The theoretical density is 10104 kg/m³. The electronic total energy is -24.5 eV for the cell shown. The symmetry is F-43m, No. 216.

---

Crystalline BeNbTlNi at its relaxed geometry, computed with PBE.

a b c (Å): 4.458 4.458 4.458
angles (deg): 60.00 60.00 60.00
Fractional positions:
Be 0.000 0.000 0.000
Nb 0.250 0.250 0.250
Tl 0.500 0.500 0.500
Ni 0.750 0.750 0.750

Calculated values
The energy above the most stable polymorph in this dataset comes out at 203 meV per atom. The theoretical density is 9677 kg/m³. The electronic total energy is -19.6 eV for the cell shown. The symmetry is F-43m, No. 216.

---

Crystalline Gd2BeCo2 at its relaxed geometry, computed with PBE.

a b c (Å): 7.255 5.462 8.273
angles (deg): 59.66 40.53 79.81
Fractional positions:
Gd 0.218 0.782 0.381
Gd 0.631 0.869 0.468
Gd 0.782 0.218 0.619
Gd 0.869 0.631 0.032
Be 0.225 0.225 0.775
Be 0.475 0.475 0.025
Co 0.205 0.286 0.037
Co 0.213 0.778 0.045
Co 0.286 0.205 0.472
Co 0.778 0.213 0.964

Calculated values
The theoretical density is 8577 kg/m³. The electronic total energy is -56.1 eV for the cell shown. The symmetry is Fdd2, No. 43.

---

Crystalline AlIrOs at its relaxed geometry, computed with PBE.

a b c (Å): 4.163 4.163 4.163
angles (deg): 60.00 60.00 60.00
Fractional positions:
Al 0.000 0.000 0.000
Ir 0.250 0.250 0.250
Os 0.500 0.500 0.500

Calculated values
The energy above the most stable polymorph in this dataset comes out at 0 meV per atom. The theoretical density is 13324 kg/m³. The electronic total energy is -23.7 eV for the cell shown. The symmetry is F-43m, No. 216.

---

Crystalline AcSbAu at its relaxed geometry, computed with PBE.

a b c (Å): 5.099 5.099 5.099
angles (deg): 60.00 60.00 60.00
Fractional positions:
Ac 0.000 0.000 0.000
Sb 0.500 0.500 0.500
Au 0.250 0.250 0.250

Calculated values
The energy above the most stable polymorph in this dataset comes out at 104 meV per atom. The theoretical density is 9667 kg/m³. The electronic total energy is -13.9 eV for the cell shown. The symmetry is F-43m, No. 216.

---

Crystalline SrSmPa at its relaxed geometry, computed with PBE.

a b c (Å): 5.488 5.488 5.488
angles (deg): 60.00 60.00 60.00
Fractional positions:
Sr 0.000 0.000 0.000
Sm 0.750 0.750 0.750
Pa 0.500 0.500 0.500

Calculated values
The energy above the most stable polymorph in this dataset comes out at 0 meV per atom. The theoretical density is 6664 kg/m³. The electronic total energy is -11.9 eV for the cell shown. The symmetry is F-43m, No. 216.

---

Crystalline Zn4Bi3 at its relaxed geometry, computed with PBE.

a b c (Å): 8.903 8.903 4.785
angles (deg): 90.00 90.00 120.00
Fractional positions:
Zn 0.135 0.528 0.250
Zn 0.333 0.667 0.750
Zn 0.393 0.865 0.250
Zn 0.472 0.607 0.250
Zn 0.528 0.393 0.750
Zn 0.607 0.135 0.750
Zn 0.667 0.333 0.250
Zn 0.865 0.472 0.750
Bi 0.073 0.302 0.750
Bi 0.229 0.927 0.750
Bi 0.302 0.229 0.250
Bi 0.698 0.771 0.750
Bi 0.771 0.073 0.250
Bi 0.927 0.698 0.250

Calculated values
The energy above the most stable polymorph in this dataset comes out at 0 meV per atom. The theoretical density is 8985 kg/m³. The electronic total energy is -32.5 eV for the cell shown. The symmetry is P6_3/m, No. 176.

---

Crystalline TaNb2Tc3 at its relaxed geometry, computed with PBE.

a b c (Å): 3.188 3.188 9.560
angles (deg): 90.00 90.00 90.00
Fractional positions:
Ta 0.000 0.000 0.000
Nb 0.000 0.000 0.333
Nb 0.000 0.000 0.667
Tc 0.500 0.500 0.166
Tc 0.500 0.500 0.500
Tc 0.500 0.500 0.834

Calculated values
The calculation puts the formation energy at -392 meV/atom. The theoretical density is 11289 kg/m³. The electronic total energy is -65.5 eV for the cell shown. The symmetry is P4/mmm, No. 123.